# 1
AgTe2Os, optimized geometry, DFT PBE; ΔE_f (raw) = 0.73 eV/atom; size of the total moment = 0.00 μB per cell; DOS(E_F) = 3.05 states/eV/f.u.; relative energy among the computed polymorphs = 2.030 eV per formula unit; space group = No. 166; total energy = -4.361 eV/atom; crystal system = trigonal
1.0
3.0617 0.0000 0.0000
-1.5308 2.6515 0.0000
0.0000 0.0000 33.9635
Ag Te Os
3 6 3
direct
0.0000 0.0000 0.0000 Ag
0.3333 0.6667 0.6667 Ag
0.6667 0.3333 0.3333 Ag
0.0000 0.0000 0.4243 Te
0.0000 0.0000 0.5757 Te
0.3333 0.6667 0.0910 Te
0.3333 0.6667 0.2424 Te
0.6667 0.3333 0.7576 Te
0.6667 0.3333 0.9090 Te
0.0000 0.0000 0.5000 Os
0.3333 0.6667 0.1667 Os
0.6667 0.3333 0.8333 Os

***

# 2
InMoOs, optimized geometry, DFT PBE; formation energy from the elements = 0.19 eV per atom; size of the total moment = 0.00 μB per cell; DOS(E_F) = 2.86 states/eV/f.u.; relative energy among the computed polymorphs = 0.000 eV per formula unit; space group = No. 107; total energy = -8.081 eV/atom; crystal system = tetragonal
1.0
2.9845 0.0000 0.0000
0.0000 2.9845 0.0000
0.0000 0.0000 11.5352
In Mo Os
2 2 2
direct
0.0000 0.0000 0.0000 In
0.5000 0.5000 0.5000 In
0.0000 0.0000 0.6879 Mo
0.5000 0.5000 0.1879 Mo
0.0000 0.0000 0.3211 Os
0.5000 0.5000 0.8211 Os

***

# 3
Ti2Nb2H3, optimized geometry, DFT PBE; size of the total moment = 0.00 μB per cell; DOS(E_F) = 5.10 states/eV/f.u.; space group = No. 12; total energy = -6.817 eV/atom; crystal system = monoclinic
1.0
10.5406 0.0000 0.0000
0.0000 3.2671 0.0000
-1.9751 0.0000 4.4601
Ti Nb H
4 4 6
direct
0.1136 0.0000 0.3754 Ti
0.3864 0.5000 0.6246 Ti
0.6136 0.5000 0.3754 Ti
0.8864 0.0000 0.6246 Ti
0.1329 0.5000 0.9034 Nb
0.3671 0.0000 0.0966 Nb
0.6329 0.0000 0.9034 Nb
0.8671 0.5000 0.0966 Nb
0.0000 0.5000 0.5000 H
0.1991 0.5000 0.3362 H
0.3009 0.0000 0.6638 H
0.5000 0.0000 0.5000 H
0.6991 0.0000 0.3362 H
0.8009 0.5000 0.6638 H

***

# 4
Na2BiPb, optimized geometry, DFT PBE; formation energy from the elements = -0.08 eV per atom; size of the total moment = 0.00 μB per cell; DOS(E_F) = 2.62 states/eV/f.u.; space group = No. 122; total energy = -2.639 eV/atom; crystal system = tetragonal
1.0
4.7962 0.0000 0.0000
0.0000 4.7962 0.0000
0.0000 0.0000 22.2799
Na Bi Pb
8 4 4
direct
0.2493 0.2500 0.1250 Na
0.2500 0.7493 0.3750 Na
0.2500 0.7507 0.8750 Na
0.2507 0.2500 0.6250 Na
0.7493 0.7500 0.6250 Na
0.7500 0.2493 0.8750 Na
0.7500 0.2507 0.3750 Na
0.7507 0.7500 0.1250 Na
0.0000 0.0000 0.0000 Bi
0.0000 0.5000 0.2500 Bi
0.5000 0.0000 0.7500 Bi
0.5000 0.5000 0.5000 Bi
0.0000 0.0000 0.5000 Pb
0.0000 0.5000 0.7500 Pb
0.5000 0.0000 0.2500 Pb
0.5000 0.5000 0.0000 Pb

***

# 5
K5Ge4Sb2, optimized geometry, DFT PBE; ΔE_f (raw) = 0.01 eV/atom; size of the total moment = 0.00 μB per cell; DOS(E_F) = 3.93 states/eV/f.u.; space group = No. 12; total energy = -2.918 eV/atom; crystal system = monoclinic
1.0
6.2763 -3.1475 0.0000
6.2763 3.1475 0.0000
-3.8612 0.0000 9.0049
K Ge Sb
5 4 2
direct
0.0000 0.0000 0.0000 K
0.1683 0.6546 0.6240 K
0.3454 0.8317 0.3760 K
0.6546 0.1683 0.6240 K
0.8317 0.3454 0.3760 K
0.2839 0.2839 0.2827 Ge
0.3603 0.3603 0.0926 Ge
0.6397 0.6397 0.9074 Ge
0.7161 0.7161 0.7173 Ge
0.1900 0.1900 0.7913 Sb
0.8100 0.8100 0.2087 Sb

***

# 6
Sr2TaSe4, optimized geometry, DFT PBE; ΔE_f (raw) = -1.33 eV/atom; size of the total moment = 2.04 μB per cell; DOS(E_F) = 2.46 states/eV/f.u.; space group = No. 11; total energy = -5.494 eV/atom; crystal system = monoclinic
1.0
7.3574 0.0000 0.0000
0.0000 7.0230 0.0000
-2.4717 0.0000 8.1319
Sr Ta Se
4 2 8
direct
0.2202 0.2500 0.0535 Sr
0.2426 0.2500 0.5634 Sr
0.7574 0.7500 0.4366 Sr
0.7798 0.7500 0.9465 Sr
0.2495 0.7500 0.8085 Ta
0.7505 0.2500 0.1915 Ta
0.0012 0.9996 0.2558 Se
0.0012 0.5004 0.2558 Se
0.4261 0.7500 0.0974 Se
0.4341 0.7500 0.6145 Se
0.5659 0.2500 0.3855 Se
0.5739 0.2500 0.9026 Se
0.9988 0.0004 0.7442 Se
0.9988 0.4996 0.7442 Se

***

# 7
Ac2PmSm4, optimized geometry, DFT PBE; formation energy from the elements = 0.57 eV per atom; size of the total moment = 0.11 μB per cell; DOS(E_F) = 11.92 states/eV/f.u.; relative energy among the computed polymorphs = 2.508 eV per formula unit; space group = No. 139; total energy = -3.980 eV/atom; crystal system = tetragonal
1.0
5.7213 0.0000 0.0000
0.0000 5.7213 0.0000
0.0000 0.0000 18.1862
Ac Pm Sm
4 2 8
direct
0.0000 0.0000 0.1286 Ac
0.0000 0.0000 0.8714 Ac
0.5000 0.5000 0.3714 Ac
0.5000 0.5000 0.6286 Ac
0.0000 0.0000 0.5000 Pm
0.5000 0.5000 0.0000 Pm
0.0000 0.0000 0.3284 Sm
0.0000 0.0000 0.6716 Sm
0.0000 0.5000 0.0000 Sm
0.0000 0.5000 0.5000 Sm
0.5000 0.0000 0.0000 Sm
0.5000 0.0000 0.5000 Sm
0.5000 0.5000 0.1716 Sm
0.5000 0.5000 0.8284 Sm

***

# 8
NaS4I, optimized geometry, DFT PBE; ΔE_f (raw) = -0.17 eV/atom; size of the total moment = 0.00 μB per cell; DOS(E_F) = 2.36 states/eV/f.u.; space group = No. 2; total energy = -3.398 eV/atom; crystal system = triclinic
1.0
4.2734 0.0000 0.0000
-1.1631 9.1350 0.0000
-1.6174 -2.7016 9.4993
Na S I
2 8 2
direct
0.1584 0.1043 0.3604 Na
0.8416 0.8957 0.6396 Na
0.2548 0.6650 0.7735 S
0.3039 0.4388 0.9471 S
0.3242 0.4637 0.5398 S
0.3301 0.2230 0.1195 S
0.6699 0.7770 0.8805 S
0.6758 0.5363 0.4602 S
0.6961 0.5612 0.0529 S
0.7452 0.3350 0.2265 S
0.4214 0.1480 0.6885 I
0.5786 0.8520 0.3115 I

***

Number 8 is which compound? NaS4I

***

Which of these has the lowest DOS(E_F)? NaS4I

***

Please write out number 1 again, unchanged.
AgTe2Os, optimized geometry, DFT PBE; ΔE_f (raw) = 0.73 eV/atom; size of the total moment = 0.00 μB per cell; DOS(E_F) = 3.05 states/eV/f.u.; relative energy among the computed polymorphs = 2.030 eV per formula unit; space group = No. 166; total energy = -4.361 eV/atom; crystal system = trigonal
1.0
3.0617 0.0000 0.0000
-1.5308 2.6515 0.0000
0.0000 0.0000 33.9635
Ag Te Os
3 6 3
direct
0.0000 0.0000 0.0000 Ag
0.3333 0.6667 0.6667 Ag
0.6667 0.3333 0.3333 Ag
0.0000 0.0000 0.4243 Te
0.0000 0.0000 0.5757 Te
0.3333 0.6667 0.0910 Te
0.3333 0.6667 0.2424 Te
0.6667 0.3333 0.7576 Te
0.6667 0.3333 0.9090 Te
0.0000 0.0000 0.5000 Os
0.3333 0.6667 0.1667 Os
0.6667 0.3333 0.8333 Os